AcNdGa2 PBE-GGA optimized geometry; symmetry = No. 63
1.0
2.370 -6.686 0.000
2.370 6.686 0.000
0.000 0.000 7.115
Ac Ga Nd
2 4 2
direct
0.940 0.060 0.250
0.060 0.940 0.750
0.601 0.399 0.066
0.601 0.399 0.434
0.399 0.601 0.566
0.399 0.601 0.934
0.221 0.779 0.250
0.779 0.221 0.750

AcGaNi PBE-GGA optimized geometry; energy relative to the lowest polymorph listed for this composition = 0.000 eV/atom; symmetry = No. 216
1.0
0.000 3.336 3.336
3.336 0.000 3.336
3.336 3.336 0.000
Ac Ga Ni
1 1 1
direct
0.250 0.250 0.250
0.750 0.750 0.750
0.000 0.000 0.000

AcGaNi PBE-GGA optimized geometry; energy relative to the lowest polymorph listed for this composition = 0.667 eV/atom; symmetry = No. 216
1.0
3.279 -0.202 3.714
2.450 4.088 1.370
-1.030 2.172 4.337
Ac Ga Ni
1 1 1
direct
0.000 0.000 0.000
0.250 0.250 0.250
0.750 0.750 0.750

AcGa6Ni PBE-GGA optimized geometry; symmetry = No. 123
1.0
-3.414 2.543 -0.962
-1.107 0.111 4.220
4.563 6.516 1.027
Ac Ga Ni
1 6 1
direct
0.000 0.000 0.000
0.500 0.500 0.155
0.500 0.000 0.339
0.000 0.500 0.339
0.500 0.000 0.661
0.000 0.500 0.661
0.500 0.500 0.845
0.000 0.000 0.500

AcGaOs PBE-GGA optimized geometry; energy relative to the lowest polymorph listed for this composition = 0.000 eV/atom; symmetry = No. 216
1.0
0.000 3.355 3.355
3.355 0.000 3.355
3.355 3.355 0.000
Ac Ga Os
1 1 1
direct
0.250 0.250 0.250
0.750 0.750 0.750
0.000 0.000 0.000

AcGaOs PBE-GGA optimized geometry; energy relative to the lowest polymorph listed for this composition = 0.886 eV/atom; symmetry = No. 216
1.0
-1.354 -4.377 -1.779
-4.633 -1.548 0.545
-2.982 -0.252 -3.899
Ac Ga Os
1 1 1
direct
0.000 0.000 0.000
0.250 0.250 0.250
0.750 0.750 0.750

AcGa2Pd2 PBE-GGA optimized geometry; symmetry = No. 129
1.0
-4.158 -0.490 1.740
0.635 -4.481 0.258
3.795 1.077 9.375
Ac Ga Pd
2 4 4
direct
0.000 0.500 0.252
0.500 0.000 0.748
0.000 0.000 0.000
0.500 0.500 0.000
0.500 0.000 0.381
0.000 0.500 0.619
0.500 0.000 0.128
0.000 0.000 0.500
0.500 0.500 0.500
0.000 0.500 0.872

AcGaPd2 PBE-GGA optimized geometry; symmetry = No. 62
1.0
-4.925 -0.141 -5.530
2.277 -3.242 -1.945
-5.870 -7.373 5.416
Ac Ga Pd
4 4 8
direct
0.335 0.750 0.140
0.835 0.750 0.360
0.165 0.250 0.640
0.665 0.250 0.860
0.965 0.250 0.106
0.465 0.250 0.394
0.535 0.750 0.606
0.035 0.750 0.894
0.787 0.750 0.063
0.632 0.250 0.188
0.132 0.250 0.312
0.287 0.750 0.437
0.713 0.250 0.563
0.868 0.750 0.688
0.368 0.750 0.812
0.213 0.250 0.937

AcGaPd PBE-GGA optimized geometry; energy relative to the lowest polymorph listed for this composition = 0.775 eV/atom; symmetry = No. 216
1.0
0.000 3.579 3.579
3.579 0.000 3.579
3.579 3.579 0.000
Ac Ga Pd
1 1 1
direct
0.000 0.000 0.000
0.250 0.250 0.250
0.750 0.750 0.750

Ac2Ga7Pd PBE-GGA optimized geometry; symmetry = No. 115
1.0
-2.277 -1.682 -3.526
3.386 -2.884 -0.812
-4.517 -7.074 6.292
Ac Ga Pd
2 7 1
direct
0.500 0.000 0.246
0.000 0.500 0.754
0.500 0.500 0.000
0.000 0.500 0.123
0.000 0.500 0.367
0.000 0.000 0.500
0.500 0.500 0.500
0.500 0.000 0.633
0.500 0.000 0.877
0.000 0.000 0.000

AcPmGa4 PBE-GGA optimized geometry; symmetry = No. 191
1.0
-3.220 -2.087 1.991
1.304 -1.275 -3.920
5.931 -5.548 3.777
Ac Ga Pm
1 4 1
direct
0.000 0.000 0.500
0.667 0.333 0.233
0.333 0.667 0.233
0.667 0.333 0.767
0.333 0.667 0.767
0.000 0.000 0.000

AcGaPt PBE-GGA optimized geometry; energy relative to the lowest polymorph listed for this composition = 0.824 eV/atom; symmetry = No. 216
1.0
0.000 3.566 3.566
3.566 0.000 3.566
3.566 3.566 0.000
Ac Ga Pt
1 1 1
direct
0.000 0.000 0.000
0.250 0.250 0.250
0.750 0.750 0.750

AcGaPt PBE-GGA optimized geometry; energy relative to the lowest polymorph listed for this composition = 0.000 eV/atom; symmetry = No. 187
1.0
-3.367 -1.086 2.797
3.504 -2.794 -0.503
2.010 1.949 3.177
Ac Ga Pt
1 1 1
direct
0.000 0.000 0.333
0.333 0.667 0.834
0.667 0.333 0.833

AcGa3Pt PBE-GGA optimized geometry; symmetry = No. 63
1.0
6.206 0.000 0.000
0.000 6.297 0.000
-3.009 0.000 5.428
Ac Ga Pt
2 6 2
direct
0.252 0.250 0.247
0.748 0.750 0.753
0.749 0.000 0.249
0.749 0.500 0.249
0.141 0.750 0.359
0.859 0.250 0.641
0.251 0.000 0.751
0.251 0.500 0.751
0.377 0.750 0.123
0.623 0.250 0.877

Ac3Ga4Pt4 PBE-GGA optimized geometry; symmetry = No. 12
1.0
4.307 0.000 0.000
0.001 4.470 0.000
2.148 2.228 13.211
Ac Ga Pt
3 4 4
direct
0.000 0.000 0.000
0.851 0.352 0.296
0.149 0.648 0.704
0.399 0.900 0.200
0.250 0.251 0.498
0.750 0.749 0.502
0.601 0.100 0.800
0.446 0.447 0.106
0.303 0.803 0.393
0.697 0.197 0.607
0.554 0.553 0.894

AcGaPt2 PBE-GGA optimized geometry; symmetry = No. 62
1.0
-0.439 7.252 1.657
-4.139 0.077 -1.431
-3.510 -2.501 10.015
Ac Ga Pt
4 4 8
direct
0.158 0.250 0.137
0.658 0.250 0.363
0.342 0.750 0.637
0.842 0.750 0.863
0.530 0.750 0.107
0.030 0.750 0.393
0.970 0.250 0.607
0.470 0.250 0.893
0.708 0.250 0.065
0.862 0.750 0.192
0.362 0.750 0.308
0.208 0.250 0.435
0.792 0.750 0.565
0.638 0.250 0.692
0.138 0.250 0.808
0.292 0.750 0.935

AcGaPt PBE-GGA optimized geometry; energy relative to the lowest polymorph listed for this composition = 0.544 eV/atom; symmetry = No. 216
1.0
-0.115 -4.804 -0.361
-3.535 -2.492 2.125
-3.390 -2.134 -2.679
Ac Ga Pt
1 1 1
direct
0.250 0.250 0.250
0.000 0.000 0.000
0.750 0.750 0.750

AcGa6Pt PBE-GGA optimized geometry; symmetry = No. 123
1.0
4.483 0.000 0.000
0.000 4.483 0.000
0.000 0.000 8.052
Ac Ga Pt
1 6 1
direct
0.000 0.000 0.000
0.500 0.500 0.154
0.500 0.000 0.332
0.000 0.500 0.332
0.500 0.000 0.668
0.000 0.500 0.668
0.500 0.500 0.846
0.000 0.000 0.500

AcGaRe PBE-GGA optimized geometry; energy relative to the lowest polymorph listed for this composition = 0.896 eV/atom; symmetry = No. 216
1.0
3.938 -2.239 2.067
3.318 2.675 2.573
0.281 -0.475 4.948
Ac Ga Re
1 1 1
direct
0.000 0.000 0.000
0.250 0.250 0.250
0.750 0.750 0.750

AcGaRe PBE-GGA optimized geometry; energy relative to the lowest polymorph listed for this composition = 0.000 eV/atom; symmetry = No. 216
1.0
-2.886 -3.623 -0.858
-2.253 -2.111 3.558
-4.656 0.531 0.486
Ac Ga Re
1 1 1
direct
0.000 0.000 0.000
0.500 0.500 0.500
0.250 0.250 0.250

no.,total magnetization (μB/f.u.),total DFT energy (no corrections) (eV per cell)
1,0.0,-34.32
2,0.0,-13.52
3,0.0,-11.52
4,0.0,-31.40
5,0.0,-17.95
6,0.0,-15.29
7,0.0,-49.25
8,0.0,-83.43
9,0.0,-12.38
10,0.0,-40.51
11,0.0,-24.94
12,0.0,-13.64
13,0.0,-16.11
14,0.0,-46.60
15,0.0,-59.44
16,0.0,-93.50
17,0.0,-14.48
18,0.0,-32.87
19,1.3,-15.24
20,0.0,-17.93